[1]
## Cs4PH2 (PBE)

Data for an optimized crystal structure of Cs4PH2.

## Properties
**Density of states at the Fermi level**: 5.239 states/eV per cell
**E_tot**: -2.28 eV per atom
**M_tot**: 0.0 μB per cell

a b c (Å): 9.3459 9.3459 9.3459
angles (deg): 134.39 134.39 66.48
With the nearest neighbours (Å) after each atom.
Element x y z (fractional)
1 Cs 0.0000 0.5000 0.5000  2 P 3.62, 4 H 3.64
2 Cs 0.2101 0.2101 0.0000  1 P 3.29
3 Cs 0.5000 0.0000 0.5000  2 P 3.62, 4 H 3.64
4 Cs 0.7899 0.7899 0.0000  1 P 3.29
5 P 0.0000 0.0000 0.0000  6 Cs 3.29-3.62
6 H 0.4757 0.4757 0.0000  1 H 0.76
7 H 0.5243 0.5243 0.0000  1 H 0.76

***

[2]
## CsK2Hg2Bi2 (PBE)

Data for an optimized crystal structure of CsK2Hg2Bi2.

## Properties
**Density of states at the Fermi level**: 2.369 states/eV per cell
**E_tot**: -1.94 eV per atom
**Formation energy**: -0.31 eV/atom
**M_tot**: 0.0 μB per cell

a b c (Å): 11.8632 11.8632 11.8632
angles (deg): 26.47 26.47 26.47
With the nearest neighbours (Å) after each atom.
Element x y z (fractional)
1 Cs 0.0000 0.0000 0.0000  6 Hg 4.19, 6 Bi 4.23, 2 K 4.59
2 K 0.1337 0.1337 0.1337  4 Bi 3.59-4.01, 3 Hg 3.62, 3 K 3.87
3 K 0.8663 0.8663 0.8663  4 Bi 3.59-4.01, 3 Hg 3.62, 3 K 3.87
4 Hg 0.4145 0.4145 0.4145  3 Bi 3.14
5 Hg 0.5855 0.5855 0.5855  3 Bi 3.14
6 Bi 0.2506 0.2506 0.2506  3 Hg 3.14
7 Bi 0.7494 0.7494 0.7494  3 Hg 3.14

***

[3]
## Fe6Ni2Rh (PBE)

Data for an optimized crystal structure of Fe6Ni2Rh.

## Properties
**Density of states at the Fermi level**: 12.928 states/eV per cell
**E_tot**: -7.27 eV per atom
**Formation energy**: 0.48 eV/atom
**M_tot**: 16.6 μB per cell

a b c (Å): 4.8155 4.8155 6.3411
angles (deg): 93.24 93.24 118.45
With the nearest neighbours (Å) after each atom.
Element x y z (fractional)
1 Fe 0.0262 0.5488 0.3169  5 Fe 2.33-2.49, 2 Ni 2.45-2.46
2 Fe 0.0375 0.0375 0.3203  5 Fe 2.33-2.49, 2 Ni 2.43, 1 Rh 2.43
3 Fe 0.4512 0.9738 0.6831  5 Fe 2.33-2.49, 2 Ni 2.45-2.46
4 Fe 0.5488 0.0262 0.3169  5 Fe 2.33-2.49, 2 Ni 2.45-2.46
5 Fe 0.9625 0.9625 0.6797  5 Fe 2.33-2.49, 2 Ni 2.43, 1 Rh 2.43
6 Fe 0.9738 0.4512 0.6831  5 Fe 2.33-2.49, 2 Ni 2.45-2.46
7 Ni 0.1633 0.8367 0.0000  6 Fe 2.43-2.46, 1 Ni 2.70
8 Ni 0.8367 0.1633 0.0000  6 Fe 2.43-2.46, 1 Ni 2.70
9 Rh 0.5000 0.5000 0.5000  6 Fe 2.43-2.62

***

[4]
## Na3Ac2TmSe6 (PBE)

Data for an optimized crystal structure of Na3Ac2TmSe6.

## Properties
**Density of states at the Fermi level**: 0.000 states/eV per cell
**E_tot**: -4.83 eV per atom
**M_tot**: 0.0 μB per cell

a b c (Å): 9.7326 9.7326 8.6705
angles (deg): 101.86 101.86 25.98
With the nearest neighbours (Å) after each atom.
Element x y z (fractional)
1 Na 0.0000 0.0000 0.0000  6 Se 3.09-3.25
2 Na 0.3378 0.3378 0.6701  5 Se 3.00-3.09
3 Na 0.6622 0.6622 0.3299  5 Se 3.00-3.09
4 Ac 0.3357 0.3357 0.1754  6 Se 3.07-3.13
5 Ac 0.6643 0.6643 0.8246  6 Se 3.07-3.13
6 Tm 0.0000 0.0000 0.5000  6 Se 2.88-2.92
7 Se 0.1553 0.1553 0.5711  1 Tm 2.88, 2 Na 3.05, 2 Ac 3.08
8 Se 0.1669 0.1669 0.0806  3 Na 3.09, 3 Ac 3.11-3.13
9 Se 0.4992 0.4992 0.7228  2 Tm 2.92, 3 Na 3.00-3.25, 1 Ac 3.07
10 Se 0.5008 0.5008 0.2772  2 Tm 2.92, 3 Na 3.00-3.25, 1 Ac 3.07
11 Se 0.8331 0.8331 0.9194  3 Na 3.09, 3 Ac 3.11-3.13
12 Se 0.8447 0.8447 0.4289  1 Tm 2.88, 2 Na 3.05, 2 Ac 3.08

***

[5]
## MnP2HS (PBE)

Data for an optimized crystal structure of MnP2HS.

## Properties
**Density of states at the Fermi level**: 2.256 states/eV per cell
**E_tot**: -5.03 eV per atom
**M_tot**: 4.6 μB per cell
**ΔE to the lowest computed polymorph**: 0 meV/atom

a b c (Å): 3.4627 3.4627 7.0894
angles (deg): 90.00 90.00 90.00
With the nearest neighbours (Å) after each atom.
Element x y z (fractional)
1 Mn 0.0000 0.0000 0.0000  4 S 2.45
2 P 0.0000 0.5000 0.5000  2 H 1.73
3 P 0.5000 0.0000 0.5000  2 H 1.73
4 H 0.5000 0.5000 0.5000  4 P 1.73
5 S 0.5000 0.5000 0.0000  4 Mn 2.45

***

[6]
## SmAg2GeO4 (PBE)

Data for an optimized crystal structure of SmAg2GeO4.

## Properties
**Density of states at the Fermi level**: 0.532 states/eV per cell
**E_tot**: -5.82 eV per atom
**M_tot**: 0.0 μB per cell

a b c (Å): 6.1523 6.1523 6.1523
angles (deg): 129.17 129.17 74.74
With the nearest neighbours (Å) after each atom.
Element x y z (fractional)
1 Sm 0.0000 0.0000 0.0000  4 O 2.24
2 Ag 0.2500 0.7500 0.5000  4 O 2.54
3 Ag 0.5000 0.5000 0.0000  4 O 2.49
4 Ge 0.7500 0.2500 0.5000  4 O 1.80
5 O 0.0294 0.1443 0.4564  1 Ge 1.80
6 O 0.4270 0.9706 0.1149  1 Ge 1.80
7 O 0.6879 0.5730 0.5436  1 Ge 1.80
8 O 0.8557 0.3121 0.8851  1 Ge 1.80

***

[7]
## Sb2PbN (PBE)

Data for an optimized crystal structure of Sb2PbN.

## Properties
**Density of states at the Fermi level**: 3.995 states/eV per cell
**E_tot**: -4.48 eV per atom
**M_tot**: 0.0 μB per cell
**ΔE to the lowest computed polymorph**: 305 meV/atom

a b c (Å): 7.7131 7.7131 7.7131
angles (deg): 135.84 135.84 64.23
With the nearest neighbours (Å) after each atom.
Element x y z (fractional)
1 Sb 0.0004 0.6250 0.8754  2 N 2.30
2 Sb 0.3750 0.2504 0.3754  2 N 2.30
3 Sb 0.7496 0.1250 0.1246  2 N 2.30
4 Sb 0.8750 0.9996 0.6246  2 N 2.30
5 Pb 0.2500 0.7500 0.5000  4 Sb 3.08
6 Pb 0.5000 0.5000 0.0000  4 Sb 3.08
7 N 0.0000 0.0000 0.0000  4 Sb 2.30
8 N 0.7500 0.2500 0.5000  4 Sb 2.30

***

[8]
## MgTeF (PBE)

Data for an optimized crystal structure of MgTeF.

## Properties
**E_tot**: -4.02 eV per atom
**M_tot**: 0.0 μB per cell
**ΔE to the lowest computed polymorph**: 103 meV/atom

a b c (Å): 4.0053 5.8049 6.1610
angles (deg): 70.90 89.30 72.94
With the nearest neighbours (Å) after each atom.
Element x y z (fractional)
1 Mg 0.2131 0.0612 0.2800  3 F 2.02-2.17
2 Mg 0.7869 0.9388 0.7200  3 F 2.02-2.17
3 Te 0.3763 0.3934 0.8553  1 Te 2.81, 2 Mg 2.90-3.04, 1 F 3.09
4 Te 0.6237 0.6066 0.1447  1 Te 2.81, 2 Mg 2.90-3.04, 1 F 3.09
5 F 0.2333 0.0364 0.6142  3 Mg 2.02-2.17
6 F 0.7667 0.9636 0.3858  3 Mg 2.02-2.17

***

[9]
## RbSn2Ge2Au6 (PBE)

Data for an optimized crystal structure of RbSn2Ge2Au6.

## Properties
**Density of states at the Fermi level**: 3.690 states/eV per cell
**E_tot**: -3.52 eV per atom
**Formation energy**: -0.08 eV/atom
**M_tot**: 0.0 μB per cell

a b c (Å): 7.4335 7.5479 7.5669
angles (deg): 61.83 73.28 73.34
With the nearest neighbours (Å) after each atom.
Element x y z (fractional)
1 Rb 0.0000 0.0000 0.0000  12 Au 3.97-4.12, 2 Sn 4.42
2 Sn 0.1662 0.2975 0.2958  4 Au 2.67-2.97
3 Sn 0.8338 0.7025 0.7042  4 Au 2.67-2.97
4 Ge 0.4682 0.6090 0.6090  3 Au 2.51-2.53, 1 Ge 2.71
5 Ge 0.5318 0.3910 0.3910  3 Au 2.51-2.53, 1 Ge 2.71
6 Au 0.1816 0.5051 0.5054  1 Ge 2.53, 1 Sn 2.75, 1 Au 2.75
7 Au 0.1893 0.5054 0.8932  1 Ge 2.51, 1 Sn 2.67
8 Au 0.1895 0.8940 0.5056  1 Ge 2.51, 1 Sn 2.67
9 Au 0.8105 0.1060 0.4944  1 Ge 2.51, 1 Sn 2.67
10 Au 0.8107 0.4946 0.1068  1 Ge 2.51, 1 Sn 2.67
11 Au 0.8184 0.4949 0.4946  1 Ge 2.53, 1 Sn 2.75, 1 Au 2.75

***

[10]
## Na5CdIn5 (PBE)

Data for an optimized crystal structure of Na5CdIn5.

## Properties
**Density of states at the Fermi level**: 5.013 states/eV per cell
**E_tot**: -1.98 eV per atom
**Formation energy**: -0.05 eV/atom
**M_tot**: 0.0 μB per cell

a b c (Å): 6.0196 6.0196 10.9476
angles (deg): 90.00 90.00 120.00
With the nearest neighbours (Å) after each atom.
Element x y z (fractional)
1 Na 0.0000 0.0000 0.0000  2 In 2.97
2 Na 0.3333 0.6667 0.3236  9 In 3.52-3.58, 1 Cd 3.54, 4 Na 3.70-3.86
3 Na 0.3333 0.6667 0.6764  9 In 3.52-3.58, 1 Cd 3.54, 4 Na 3.70-3.86
4 Na 0.6667 0.3333 0.2064  6 In 3.55-3.64, 3 Na 3.70
5 Na 0.6667 0.3333 0.7936  6 In 3.55-3.64, 3 Na 3.70
6 Cd 0.3333 0.6667 0.0000  5 Na 3.48-3.54
7 In 0.0000 0.0000 0.2714  1 Na 2.97, 3 In 3.07
8 In 0.0000 0.0000 0.7286  1 Na 2.97, 3 In 3.07
9 In 0.3398 0.1699 0.5000  6 In 2.95-3.07
10 In 0.8301 0.1699 0.5000  6 In 2.95-3.07
11 In 0.8301 0.6602 0.5000  6 In 2.95-3.07

***

[11]
## LiP2RhS (PBE)

Data for an optimized crystal structure of LiP2RhS.

## Properties
**Density of states at the Fermi level**: 1.295 states/eV per cell
**E_tot**: -4.04 eV per atom
**M_tot**: 0.0 μB per cell
**ΔE to the lowest computed polymorph**: 577 meV/atom

a b c (Å): 4.1585 4.1585 4.3937
angles (deg): 90.00 90.00 90.00
With the nearest neighbours (Å) after each atom.
Element x y z (fractional)
1 Li 0.0000 0.0000 0.0000  4 P 2.08, 2 S 2.20
2 P 0.0000 0.5000 0.0000  2 Li 2.08
3 P 0.5000 0.0000 0.0000  2 Li 2.08
4 Rh 0.5000 0.5000 0.5000  4 S 2.94, 8 P 3.02
5 S 0.0000 0.0000 0.5000  2 Li 2.20

***

[12]
## AcPm2Cd8 (PBE)

Data for an optimized crystal structure of AcPm2Cd8.

## Properties
**Density of states at the Fermi level**: 6.093 states/eV per cell
**E_tot**: -2.20 eV per atom
**Formation energy**: -0.30 eV/atom
**M_tot**: 0.0 μB per cell

a b c (Å): 9.2008 9.2008 5.4089
angles (deg): 107.04 107.04 125.05
With the nearest neighbours (Å) after each atom.
Element x y z (fractional)
1 Ac 0.0000 0.0000 0.0000  6 Cd 3.34-3.55
2 Pm 0.3081 0.6919 0.5000  12 Cd 3.19-3.41
3 Pm 0.6919 0.3081 0.5000  12 Cd 3.19-3.41
4 Cd 0.1017 0.3635 0.7333  6 Cd 3.05-3.34, 3 Pm 3.27-3.37
5 Cd 0.2047 0.7953 0.0000  4 Pm 3.19-3.29, 6 Cd 3.21-3.34, 1 Ac 3.34
6 Cd 0.3635 0.1017 0.7333  6 Cd 3.05-3.34, 3 Pm 3.27-3.37
7 Cd 0.4991 0.4991 0.7496  2 Cd 2.70-2.71
8 Cd 0.5009 0.5009 0.2504  2 Cd 2.70-2.71
9 Cd 0.6365 0.8983 0.2667  6 Cd 3.05-3.34, 3 Pm 3.27-3.37
10 Cd 0.7953 0.2047 0.0000  4 Pm 3.19-3.29, 6 Cd 3.21-3.34, 1 Ac 3.34
11 Cd 0.8983 0.6365 0.2667  6 Cd 3.05-3.34, 3 Pm 3.27-3.37